# 1
Compound: Ce2PaCoN4
Source: Alexandria via LeMat-Bulk
Functional: PBE
Structure: optimized geometry

Structure (CIF):
```
data_Ce2PaCoN4
_cell_length_a 5.9092
_cell_length_b 5.1772
_cell_length_c 5.1772
_cell_angle_alpha 70.99
_cell_angle_beta 55.20
_cell_angle_gamma 55.20
_space_group_name_H-M_alt 'P 1'
_space_group_IT_number 1
_space_group_name_Hall 'P 1'
loop_
_atom_site_label
_atom_site_fract_x
_atom_site_fract_y
_atom_site_fract_z
N1 0.5271 0.0000 0.3676
N2 0.8947 0.0000 0.6324
N3 0.4729 0.6324 0.0000
N4 0.1053 0.3676 0.0000
Ce1 0.0000 0.5000 0.5000
Ce2 0.5000 0.5000 0.5000
Pa1 0.0000 0.0000 0.0000
Co1 0.5000 0.0000 0.0000
```

Space-group type: I-42m, No. 121
Crystal system: tetragonal
Total energy (Ry per atom): -0.6193

# 2
Compound: Mn21Ru2N6
Source: Alexandria via LeMat-Bulk
Functional: PBE
Structure: optimized geometry

Structure (CIF):
```
data_Mn21Ru2N6
_cell_length_a 7.3634
_cell_length_b 7.3634
_cell_length_c 7.3634
_cell_angle_alpha 60.00
_cell_angle_beta 60.00
_cell_angle_gamma 60.00
_space_group_name_H-M_alt 'P 1'
_space_group_IT_number 1
_space_group_name_Hall 'P 1'
loop_
_atom_site_label
_atom_site_fract_x
_atom_site_fract_y
_atom_site_fract_z
Mn1 0.6161 0.6161 0.6161
Mn2 0.8483 0.3839 0.3839
Mn3 0.0000 0.3312 0.0000
Mn4 0.6688 0.3312 0.0000
Mn5 0.3839 0.8483 0.3839
Mn6 0.6161 0.6161 0.1517
Mn7 0.3839 0.3839 0.3839
Mn8 0.3312 0.0000 0.0000
Mn9 0.6688 0.0000 0.3312
Mn10 0.0000 0.0000 0.0000
Mn11 0.0000 0.3312 0.6688
Mn12 0.3839 0.3839 0.8483
Mn13 0.1517 0.6161 0.6161
Mn14 0.3312 0.0000 0.6688
Mn15 0.0000 0.6688 0.0000
Mn16 0.0000 0.0000 0.6688
Mn17 0.6161 0.1517 0.6161
Mn18 0.0000 0.6688 0.3312
Mn19 0.3312 0.6688 0.0000
Mn20 0.6688 0.0000 0.0000
Mn21 0.0000 0.0000 0.3312
N1 0.7237 0.2763 0.2763
N2 0.7237 0.2763 0.7237
N3 0.2763 0.7237 0.2763
N4 0.7237 0.7237 0.2763
N5 0.2763 0.2763 0.7237
N6 0.2763 0.7237 0.7237
Ru1 0.7500 0.7500 0.7500
Ru2 0.2500 0.2500 0.2500
```

Space-group type: Fm-3m, No. 225
Crystal system: cubic
Total energy (Ry per atom): -0.6628

# 3
Compound: CsI4
Source: Alexandria via LeMat-Bulk
Functional: PBE
Structure: optimized geometry

Structure (CIF):
```
data_CsI4
_cell_length_a 5.8920
_cell_length_b 10.5627
_cell_length_c 12.4076
_cell_angle_alpha 124.57
_cell_angle_beta 89.78
_cell_angle_gamma 84.10
_space_group_name_H-M_alt 'P 1'
_space_group_IT_number 1
_space_group_name_Hall 'P 1'
loop_
_atom_site_label
_atom_site_fract_x
_atom_site_fract_y
_atom_site_fract_z
I1 0.9960 0.5289 0.0113
I2 0.8536 0.0478 0.6539
I3 0.8541 0.0460 0.4021
I4 0.9967 0.5293 0.5116
I5 0.4845 0.5905 0.0390
I6 0.4853 0.5908 0.5388
I7 0.8530 0.0478 0.1539
I8 0.8536 0.0462 0.9023
Cs1 0.3112 0.2865 0.1438
Cs2 0.3120 0.2863 0.6435
```

Space-group type: P1, No. 1
Crystal system: triclinic
Distance to the lowest polymorph of the same formula (kJ/mol of atoms): 3.2
Total energy (Ry per atom): -0.1497

# 4
Compound: SmTc3
Source: Alexandria via LeMat-Bulk
Functional: PBE
Structure: optimized geometry

Structure (CIF):
```
data_SmTc3
_cell_length_a 5.0494
_cell_length_b 5.0494
_cell_length_c 8.7770
_cell_angle_alpha 82.50
_cell_angle_beta 82.50
_cell_angle_gamma 123.11
_space_group_name_H-M_alt 'P 1'
_space_group_IT_number 1
_space_group_name_Hall 'P 1'
loop_
_atom_site_label
_atom_site_fract_x
_atom_site_fract_y
_atom_site_fract_z
Tc1 0.7854 0.7854 0.4292
Tc2 0.2500 0.7500 0.5000
Tc3 0.5000 0.0000 0.0000
Tc4 0.2146 0.2146 0.5708
Tc5 0.7500 0.2500 0.5000
Tc6 0.0000 0.5000 0.0000
Sm1 0.3980 0.3980 0.2040
Sm2 0.6020 0.6020 0.7960
```

Space-group type: Fmmm, No. 69
Crystal system: orthorhombic
E_form (meV per atom): 902
Total energy (Ry per atom): -0.5918

# 5
Compound: CeNd3As4
Source: Alexandria via LeMat-Bulk
Functional: PBE
Structure: optimized geometry

Structure (CIF):
```
data_CeNd3As4
_cell_length_a 6.0280
_cell_length_b 6.0280
_cell_length_c 6.0280
_cell_angle_alpha 90.00
_cell_angle_beta 90.00
_cell_angle_gamma 90.00
_space_group_name_H-M_alt 'P 1'
_space_group_IT_number 1
_space_group_name_Hall 'P 1'
loop_
_atom_site_label
_atom_site_fract_x
_atom_site_fract_y
_atom_site_fract_z
As1 0.5000 0.5000 0.5000
As2 0.0000 0.0000 0.5000
As3 0.5000 0.0000 0.0000
As4 0.0000 0.5000 0.0000
Ce1 0.0000 0.0000 0.0000
Nd1 0.5000 0.0000 0.5000
Nd2 0.5000 0.5000 0.0000
Nd3 0.0000 0.5000 0.5000
```

Space-group type: Pm-3m, No. 221
Crystal system: cubic
E_form (meV per atom): -1492
Distance to the lowest polymorph of the same formula (kJ/mol of atoms): 0.5
Total energy (Ry per atom): -0.4665

# 6
Compound: PaMnN
Source: Alexandria via LeMat-Bulk
Functional: PBE
Structure: optimized geometry

Structure (CIF):
```
data_PaMnN
_cell_length_a 3.3069
_cell_length_b 3.3069
_cell_length_c 5.7104
_cell_angle_alpha 106.83
_cell_angle_beta 106.83
_cell_angle_gamma 90.00
_space_group_name_H-M_alt 'P 1'
_space_group_IT_number 1
_space_group_name_Hall 'P 1'
loop_
_atom_site_label
_atom_site_fract_x
_atom_site_fract_y
_atom_site_fract_z
Mn1 0.9657 0.9657 0.9314
Pa1 0.2671 0.2671 0.5342
N1 0.7672 0.7672 0.5344
```

Space-group type: I4mm, No. 107
Crystal system: tetragonal
Distance to the lowest polymorph of the same formula (kJ/mol of atoms): 45.5
Total energy (Ry per atom): -0.6831

# 7
Compound: FeReRh
Source: Alexandria via LeMat-Bulk
Functional: PBE
Structure: optimized geometry

Structure (CIF):
```
data_FeReRh
_cell_length_a 4.2425
_cell_length_b 4.2425
_cell_length_c 2.6233
_cell_angle_alpha 90.00
_cell_angle_beta 90.00
_cell_angle_gamma 120.00
_space_group_name_H-M_alt 'P 1'
_space_group_IT_number 1
_space_group_name_Hall 'P 1'
loop_
_atom_site_label
_atom_site_fract_x
_atom_site_fract_y
_atom_site_fract_z
Fe1 0.0000 0.0000 0.8326
Rh1 0.3333 0.6667 0.8336
Re1 0.6667 0.3333 0.3338
```

Space-group type: P-6m2, No. 187
Crystal system: hexagonal
E_form (meV per atom): 50
Distance to the lowest polymorph of the same formula (kJ/mol of atoms): 5.1
Total energy (Ry per atom): -0.6887

# 8
Compound: CoRh2
Source: Alexandria via LeMat-Bulk
Functional: PBE
Structure: optimized geometry

Structure (CIF):
```
data_CoRh2
_cell_length_a 7.1736
_cell_length_b 7.1736
_cell_length_c 2.6866
_cell_angle_alpha 90.00
_cell_angle_beta 90.00
_cell_angle_gamma 120.00
_space_group_name_H-M_alt 'P 1'
_space_group_IT_number 1
_space_group_name_Hall 'P 1'
loop_
_atom_site_label
_atom_site_fract_x
_atom_site_fract_y
_atom_site_fract_z
Rh1 0.6349 0.0000 0.5000
Rh2 0.0000 0.2981 0.0000
Rh3 0.0000 0.6349 0.5000
Rh4 0.7019 0.7019 0.0000
Rh5 0.2981 0.0000 0.0000
Rh6 0.3651 0.3651 0.5000
Co1 0.3333 0.6667 0.0000
Co2 0.6667 0.3333 0.0000
Co3 0.0000 0.0000 0.5000
```

Space-group type: P-62m, No. 189
Crystal system: hexagonal
E_form (meV per atom): 74
Total energy (Ry per atom): -0.5289

What is the formula in the fourth record?
SmTc3

The highest total energy belongs to which entry?
CsI4

Which of these has the lowest total energy?
FeReRh

Which formula does entry 3 have?
CsI4